[1]
# meta-GGA SCAN CsTe2Se2, PBEsol geometry
# Energy relative to the lowest polymorph listed for this composition   0.0 meV/atom
data_CsTe2Se2
_symmetry_space_group_name_H-M 'I 4/m m m'
_symmetry_Int_Tables_number 139
_symmetry_space_group_name_Hall '-I 4 2'
_cell_length_a 5.593
_cell_length_b 5.593
_cell_length_c 12.076
_cell_angle_alpha 90.00
_cell_angle_beta 90.00
_cell_angle_gamma 90.00
loop_
_atom_site_label
_atom_site_type_symbol
_atom_site_fract_x
_atom_site_fract_y
_atom_site_fract_z
Cs1 Cs 0.000 0.000 0.000
Te1 Te 0.000 0.000 0.302
Se1 Se 0.000 0.500 0.250

=====

[2]
# meta-GGA SCAN CsTe2Se, PBEsol geometry
# Total DFT energy (no corrections)   -33.02 eV per atom
data_CsTe2Se
_symmetry_space_group_name_H-M 'R -3 m'
_symmetry_Int_Tables_number 166
_symmetry_space_group_name_Hall '-R 3 2"'
_cell_length_a 4.3055
_cell_length_b 4.3055
_cell_length_c 30.7224
_cell_angle_alpha 90.00
_cell_angle_beta 90.00
_cell_angle_gamma 120.00
loop_
_atom_site_label
_atom_site_type_symbol
_atom_site_fract_x
_atom_site_fract_y
_atom_site_fract_z
Cs1 Cs 0.0000 0.0000 0.0000
Te1 Te 0.0000 0.0000 0.1173
Se1 Se 0.0000 0.0000 0.5000

=====

[3]
# meta-GGA SCAN CsTe2Se2, PBEsol geometry
# Energy relative to the lowest polymorph listed for this composition   89.0 meV/atom
data_CsTe2Se2
_symmetry_space_group_name_H-M 'P 4/m b m'
_symmetry_Int_Tables_number 127
_symmetry_space_group_name_Hall '-P 4 2ab'
_cell_length_a 9.300
_cell_length_b 9.300
_cell_length_c 4.356
_cell_angle_alpha 90.00
_cell_angle_beta 90.00
_cell_angle_gamma 90.00
loop_
_atom_site_label
_atom_site_type_symbol
_atom_site_fract_x
_atom_site_fract_y
_atom_site_fract_z
Cs1 Cs 0.000 0.000 0.000
Te1 Te 0.236 0.264 0.500
Se1 Se 0.152 0.652 0.000

=====

[4]
# meta-GGA SCAN CsTh2Se6, PBEsol geometry
# Total DFT energy (no corrections)   -40.53 eV per atom
data_CsTh2Se6
_symmetry_space_group_name_H-M 'I m m m'
_symmetry_Int_Tables_number 71
_symmetry_space_group_name_Hall '-I 2 2'
_cell_length_a 4.184
_cell_length_b 5.510
_cell_length_c 23.864
_cell_angle_alpha 90.00
_cell_angle_beta 90.00
_cell_angle_gamma 90.00
loop_
_atom_site_label
_atom_site_type_symbol
_atom_site_fract_x
_atom_site_fract_y
_atom_site_fract_z
Cs1 Cs 0.000 0.000 0.000
Th1 Th 0.000 0.000 0.184
Se1 Se 0.000 0.250 0.385
Se2 Se 0.000 0.500 0.229

=====

[5]
# meta-GGA SCAN CsTiSe2, PBEsol geometry
# Total DFT energy (no corrections)   -24.94 eV per atom
data_CsTiSe2
_symmetry_space_group_name_H-M 'C 1 2/c 1'
_symmetry_Int_Tables_number 15
_symmetry_space_group_name_Hall '-C 2yc'
_cell_length_a 7.673
_cell_length_b 12.615
_cell_length_c 6.072
_cell_angle_alpha 90.00
_cell_angle_beta 112.65
_cell_angle_gamma 90.00
loop_
_atom_site_label
_atom_site_type_symbol
_atom_site_fract_x
_atom_site_fract_y
_atom_site_fract_z
Cs1 Cs 0.000 0.148 0.250
Ti1 Ti 0.000 0.497 0.750
Se1 Se 0.196 0.395 0.102

=====

[6]
# meta-GGA SCAN Cs3TiSe, PBEsol geometry
# Total DFT energy (no corrections)   -29.49 eV per atom
data_Cs3TiSe
_symmetry_space_group_name_H-M 'P m -3 m'
_symmetry_Int_Tables_number 221
_symmetry_space_group_name_Hall '-P 4 2 3'
_cell_length_a 6.028
_cell_length_b 6.028
_cell_length_c 6.028
_cell_angle_alpha 90.00
_cell_angle_beta 90.00
_cell_angle_gamma 90.00
loop_
_atom_site_label
_atom_site_type_symbol
_atom_site_fract_x
_atom_site_fract_y
_atom_site_fract_z
Cs1 Cs 0.000 0.000 0.500
Ti1 Ti 0.000 0.000 0.000
Se1 Se 0.500 0.500 0.500

=====

[7]
# meta-GGA SCAN Cs3TlSe, PBEsol geometry
# Total DFT energy (no corrections)   -41.72 eV per atom
data_Cs3TlSe
_symmetry_space_group_name_H-M 'P m -3 m'
_symmetry_Int_Tables_number 221
_symmetry_space_group_name_Hall '-P 4 2 3'
_cell_length_a 6.840
_cell_length_b 6.840
_cell_length_c 6.840
_cell_angle_alpha 90.00
_cell_angle_beta 90.00
_cell_angle_gamma 90.00
loop_
_atom_site_label
_atom_site_type_symbol
_atom_site_fract_x
_atom_site_fract_y
_atom_site_fract_z
Cs1 Cs 0.000 0.000 0.500
Tl1 Tl 0.500 0.500 0.500
Se1 Se 0.000 0.000 0.000

=====

[8]
# meta-GGA SCAN CsTlSe2, PBEsol geometry
# Total DFT energy (no corrections)   -38.34 eV per atom
data_CsTlSe2
_symmetry_space_group_name_H-M 'I -4 2 d'
_symmetry_Int_Tables_number 122
_symmetry_space_group_name_Hall 'I -4 2bw'
_cell_length_a 8.074
_cell_length_b 8.074
_cell_length_c 8.857
_cell_angle_alpha 90.00
_cell_angle_beta 90.00
_cell_angle_gamma 90.00
loop_
_atom_site_label
_atom_site_type_symbol
_atom_site_fract_x
_atom_site_fract_y
_atom_site_fract_z
Cs1 Cs 0.000 0.000 0.000
Tl1 Tl 0.000 0.000 0.500
Se1 Se 0.164 0.250 0.625

=====

The evaluated size of the total moment for the records listed, in turn: 0.0000, 0.0000, 0.0000, 0.0000, 0.2500, 0.9974, 0.4009, 0.0000 μB/atom.